No. 1
# Ba2BeSi

A geometry-optimized Ba2BeSi structure (PBE-GGA, Alexandria via LeMat-Bulk).

Calculated values
formation energy (no corrections)	-0.07	eV per atom
volume	147.5	Å³/cell
ρ	3.51	g/cm³
total moment	0.04	μB/atom
relative energy among the computed polymorphs	81.2	meV per atom
crystal system	monoclinic
N(E_F)	1.05	states/eV per atom

```
data_Ba2BeSi
_chemical_formula_sum 'Ba2 Be1 Si1'
_space_group_name_H-M_alt 'P 1'
_space_group_IT_number 1
_space_group_name_Hall 'P 1'
_cell_length_a 4.060
_cell_length_b 4.534
_cell_length_c 8.322
_cell_angle_alpha 74.32
_cell_angle_beta 90.00
_cell_angle_gamma 90.00
loop_
_atom_site_label
_atom_site_type_symbol
_atom_site_fract_x
_atom_site_fract_y
_atom_site_fract_z
Be1 Be 0.000 0.648 0.577
Si1 Si 0.500 0.599 0.677
Ba1 Ba 0.000 0.000 0.877
Ba2 Ba 0.500 0.253 0.368
```

---

No. 2
# SrCa2Mg

A geometry-optimized SrCa2Mg structure (PBE-GGA, Alexandria via LeMat-Bulk).

Calculated values
volume	317.2	Å³/cell
ρ	2.01	g/cm³
total moment	0.00	μB/atom
ΔE_f	-0.1	eV/f.u.
crystal system	tetragonal
N(E_F)	1.20	states/eV per atom

```
data_SrCa2Mg
_chemical_formula_sum 'Sr2 Ca4 Mg2'
_space_group_name_H-M_alt 'P 1'
_space_group_IT_number 1
_space_group_name_Hall 'P 1'
_cell_length_a 5.698
_cell_length_b 5.698
_cell_length_c 10.569
_cell_angle_alpha 105.64
_cell_angle_beta 105.64
_cell_angle_gamma 90.00
loop_
_atom_site_label
_atom_site_type_symbol
_atom_site_fract_x
_atom_site_fract_y
_atom_site_fract_z
Sr1 Sr 0.144 0.144 0.287
Sr2 Sr 0.856 0.856 0.713
Ca1 Ca 0.000 0.500 0.000
Ca2 Ca 0.500 0.000 0.000
Ca3 Ca 0.354 0.354 0.709
Ca4 Ca 0.646 0.646 0.291
Mg1 Mg 0.250 0.750 0.500
Mg2 Mg 0.750 0.250 0.500
```